Record 1
Density functional theory data (PBE) for HoPa2Fe after structural relaxation.

Values from the calculation:
Energy relative to the lowest polymorph listed for this composition   0 meV per atom
SG   No. 166
Magnetic moment   0.0 μB/f.u.
Energy of formation   0.038 eV per atom
Uncorrected energy   -7.97 eV per atom

Cell lengths 8.9477, 8.9477, 8.9477 Å; angles 23.04, 23.04, 23.04 degrees
With the nearest neighbours (Å) after each atom.
Positions (direct):
1 Ho 0.0000 0.0000 0.0000  6 Pa 3.46, 6 Ho 3.57
2 Pa 0.2271 0.2271 0.2271  3 Fe 2.60
3 Pa 0.7729 0.7729 0.7729  3 Fe 2.60
4 Fe 0.5000 0.5000 0.5000  6 Pa 2.60

Record 2
Density functional theory data (PBE) for HoPa2Fe after structural relaxation.

Values from the calculation:
Energy relative to the lowest polymorph listed for this composition   46 meV per atom
SG   No. 123
Magnetic moment   0.0 μB/f.u.
Energy of formation   0.084 eV per atom
Uncorrected energy   -7.92 eV per atom

Cell lengths 3.4130, 3.4130, 7.9207 Å; angles 90.00, 90.00, 90.00 degrees
With the nearest neighbours (Å) after each atom.
Positions (direct):
1 Ho 0.0000 0.0000 0.0000  4 Ho 3.41, 8 Pa 3.50
2 Pa 0.5000 0.5000 0.3200  4 Fe 2.80, 1 Pa 2.85
3 Pa 0.5000 0.5000 0.6800  4 Fe 2.80, 1 Pa 2.85
4 Fe 0.0000 0.0000 0.5000  8 Pa 2.80

Record 3
Density functional theory data (PBE) for Ho2PaFe after structural relaxation.

Values from the calculation:
Energy relative to the lowest polymorph listed for this composition   0 meV per atom
SG   No. 62
Magnetic moment   0.0 μB/f.u.
Energy of formation   -0.151 eV per atom
Uncorrected energy   -6.93 eV per atom

Cell lengths 6.7678, 9.4946, 6.1616 Å; angles 90.00, 90.00, 90.00 degrees
With the nearest neighbours (Å) after each atom.
Positions (direct):
1 Ho 0.1710 0.0682 0.1746  3 Fe 2.95-3.20
2 Ho 0.1710 0.4318 0.1746  3 Fe 2.95-3.20
3 Ho 0.3290 0.5682 0.6746  3 Fe 2.95-3.20
4 Ho 0.3290 0.9318 0.6746  3 Fe 2.95-3.20
5 Ho 0.6710 0.0682 0.3254  3 Fe 2.95-3.20
6 Ho 0.6710 0.4318 0.3254  3 Fe 2.95-3.20
7 Ho 0.8290 0.5682 0.8254  3 Fe 2.95-3.20
8 Ho 0.8290 0.9318 0.8254  3 Fe 2.95-3.20
9 Pa 0.0589 0.2500 0.6752  2 Fe 2.27-2.39
10 Pa 0.4411 0.7500 0.1752  2 Fe 2.27-2.39
11 Pa 0.5589 0.2500 0.8248  2 Fe 2.27-2.39
12 Pa 0.9411 0.7500 0.3248  2 Fe 2.27-2.39
13 Fe 0.1420 0.7500 0.0068  2 Pa 2.27-2.39
14 Fe 0.3580 0.2500 0.5068  2 Pa 2.27-2.39
15 Fe 0.6420 0.7500 0.4932  2 Pa 2.27-2.39
16 Fe 0.8580 0.2500 0.9932  2 Pa 2.27-2.39

Record 4
Density functional theory data (PBE) for Ho3PaFe8 after structural relaxation.

Values from the calculation:
SG   No. 160
Magnetic moment   13.3 μB/f.u.
Energy of formation   -0.115 eV per atom
Uncorrected energy   -7.69 eV per atom

Cell lengths 8.8290, 8.8290, 8.8290 Å; angles 33.69, 33.69, 33.69 degrees
With the nearest neighbours (Å) after each atom.
Positions (direct):
1 Ho 0.0000 0.0000 0.0000  12 Fe 3.00-3.01, 4 Ho 3.11-3.12
2 Ho 0.1247 0.1247 0.1247  12 Fe 2.98-3.00, 1 Ho 3.11, 3 Pa 3.13
3 Ho 0.6260 0.6260 0.6260  12 Fe 2.99-3.01, 3 Ho 3.12, 1 Pa 3.15
4 Pa 0.4998 0.4998 0.4998  12 Fe 2.96-3.00, 4 Ho 3.13-3.15
5 Fe 0.0624 0.0624 0.5614  6 Fe 2.54-2.57
6 Fe 0.0624 0.5614 0.0624  6 Fe 2.54-2.57
7 Fe 0.0650 0.5627 0.5627  6 Fe 2.54-2.57
8 Fe 0.3130 0.3130 0.3130  6 Fe 2.56-2.57
9 Fe 0.5614 0.0624 0.0624  6 Fe 2.54-2.57
10 Fe 0.5627 0.0650 0.5627  6 Fe 2.54-2.57
11 Fe 0.5627 0.5627 0.0650  6 Fe 2.54-2.57
12 Fe 0.8129 0.8129 0.8129  6 Fe 2.54

Record 5
Density functional theory data (PBE) for Ho2PaFe2 after structural relaxation.

Values from the calculation:
SG   No. 15
Magnetic moment   0.0 μB/f.u.
Energy of formation   -0.188 eV per atom
Uncorrected energy   -7.30 eV per atom

Cell lengths 5.8968, 5.8968, 6.8677 Å; angles 97.08, 97.08, 61.69 degrees
With the nearest neighbours (Å) after each atom.
Positions (direct):
1 Ho 0.0436 0.2599 0.1464  4 Fe 2.84-2.93
2 Ho 0.2599 0.0436 0.6464  4 Fe 2.84-2.93
3 Ho 0.7401 0.9564 0.3536  4 Fe 2.84-2.93
4 Ho 0.9564 0.7401 0.8536  4 Fe 2.84-2.93
5 Pa 0.4221 0.5779 0.2500  4 Fe 2.41-2.61
6 Pa 0.5779 0.4221 0.7500  4 Fe 2.41-2.61
7 Fe 0.1970 0.5006 0.4831  1 Fe 2.37, 2 Pa 2.41-2.61
8 Fe 0.4994 0.8030 0.0169  1 Fe 2.37, 2 Pa 2.41-2.61
9 Fe 0.5006 0.1970 0.9831  1 Fe 2.37, 2 Pa 2.41-2.61
10 Fe 0.8030 0.4994 0.5169  1 Fe 2.37, 2 Pa 2.41-2.61

Record 6
Density functional theory data (PBE) for HoPaFe2 after structural relaxation.

Values from the calculation:
Energy relative to the lowest polymorph listed for this composition   0 meV per atom
SG   No. 62
Magnetic moment   0.0 μB/f.u.
Energy of formation   -0.136 eV per atom
Uncorrected energy   -7.89 eV per atom

Cell lengths 7.8725, 3.8868, 9.9838 Å; angles 90.00, 90.00, 90.00 degrees
With the nearest neighbours (Å) after each atom.
Positions (direct):
1 Ho 0.0974 0.2500 0.1231  9 Fe 3.05-3.21, 4 Pa 3.32-3.40
2 Ho 0.4026 0.7500 0.6231  9 Fe 3.05-3.21, 4 Pa 3.32-3.40
3 Ho 0.5974 0.2500 0.3769  9 Fe 3.05-3.21, 4 Pa 3.32-3.40
4 Ho 0.9026 0.7500 0.8769  9 Fe 3.05-3.21, 4 Pa 3.32-3.40
5 Pa 0.0606 0.2500 0.6270  2 Fe 2.16-2.21
6 Pa 0.4394 0.7500 0.1270  2 Fe 2.16-2.21
7 Pa 0.5606 0.2500 0.8730  2 Fe 2.16-2.21
8 Pa 0.9394 0.7500 0.3730  2 Fe 2.16-2.21
9 Fe 0.1909 0.2500 0.8172  1 Pa 2.16
10 Fe 0.1952 0.2500 0.4325  1 Pa 2.21, 2 Fe 2.43
11 Fe 0.3048 0.7500 0.9325  1 Pa 2.21, 2 Fe 2.43
12 Fe 0.3091 0.7500 0.3172  1 Pa 2.16
13 Fe 0.6909 0.2500 0.6828  1 Pa 2.16
14 Fe 0.6952 0.2500 0.0675  1 Pa 2.21, 2 Fe 2.43
15 Fe 0.8048 0.7500 0.5675  1 Pa 2.21, 2 Fe 2.43
16 Fe 0.8091 0.7500 0.1828  1 Pa 2.16

Record 7
Density functional theory data (PBE) for HoPaFe2 after structural relaxation.

Values from the calculation:
Energy relative to the lowest polymorph listed for this composition   283 meV per atom
SG   No. 166
Magnetic moment   1.3 μB/f.u.
Energy of formation   0.147 eV per atom
Uncorrected energy   -7.60 eV per atom

Cell lengths 7.6668, 7.6668, 7.6668 Å; angles 26.07, 26.07, 26.07 degrees
With the nearest neighbours (Å) after each atom.
Positions (direct):
1 Ho 0.0000 0.0000 0.0000  6 Fe 2.88
2 Pa 0.5000 0.5000 0.5000  6 Fe 2.58
3 Fe 0.2401 0.2401 0.2401  3 Pa 2.58, 3 Ho 2.88
4 Fe 0.7599 0.7599 0.7599  3 Pa 2.58, 3 Ho 2.88

Record 8
Density functional theory data (PBE) for Ho2PaFe9 after structural relaxation.

Values from the calculation:
SG   No. 166
Magnetic moment   16.1 μB/f.u.
Energy of formation   -0.086 eV per atom
Uncorrected energy   -7.99 eV per atom

Cell lengths 8.7258, 8.7258, 8.7258 Å; angles 33.40, 33.40, 33.40 degrees
With the nearest neighbours (Å) after each atom.
Positions (direct):
1 Ho 0.1419 0.1419 0.1419  12 Fe 2.91-3.06, 3 Ho 3.14
2 Ho 0.8581 0.8581 0.8581  12 Fe 2.91-3.06, 3 Ho 3.14
3 Pa 0.0000 0.0000 0.0000  18 Fe 2.90-3.23
4 Fe 0.0829 0.5821 0.5821  7 Fe 2.48-2.53
5 Fe 0.3325 0.3325 0.3325  6 Fe 2.48-2.51
6 Fe 0.4179 0.4179 0.9171  7 Fe 2.48-2.53
7 Fe 0.4179 0.9171 0.4179  7 Fe 2.48-2.53
8 Fe 0.5000 0.5000 0.5000  6 Fe 2.53
9 Fe 0.5821 0.0829 0.5821  7 Fe 2.48-2.53
10 Fe 0.5821 0.5821 0.0829  7 Fe 2.48-2.53
11 Fe 0.6675 0.6675 0.6675  6 Fe 2.48-2.51
12 Fe 0.9171 0.4179 0.4179  7 Fe 2.48-2.53